# 1
Crystalline K2AcMnS4 at its relaxed geometry, computed with PBE.

abc: 8.1738 8.1738 8.6960
angles: 117.92 117.92 86.78
With the nearest neighbours (Å) after each atom.
Sites, in units of the cell vectors:
K  0.0090  0.0090  0.2891  5 S 3.00-3.23
K  0.5294  0.0041  0.6737  3 S 3.10-3.29
K  0.9910  0.9910  0.7109  5 S 3.00-3.23
K  0.9959  0.4706  0.3263  3 S 3.10-3.29
Ac  0.4698  0.4385  0.2094  6 S 2.93-3.08
Ac  0.5615  0.5302  0.7906  6 S 2.93-3.08
Mn  0.0655  0.5420  0.8346  5 S 2.37-2.47
Mn  0.4580  0.9345  0.1654  5 S 2.37-2.47
S  0.2449  0.7292  0.7995  2 Mn 2.39-2.47
S  0.2562  0.3028  0.7670  1 Mn 2.46
S  0.2708  0.7551  0.2005  2 Mn 2.39-2.47
S  0.3571  0.2190  0.3438  1 Mn 2.47
S  0.6245  0.0965  0.0987  1 Mn 2.37
S  0.6972  0.7438  0.2330  1 Mn 2.46
S  0.7810  0.6429  0.6562  1 Mn 2.47
S  0.9035  0.3755  0.9013  1 Mn 2.37

Results
- uncorrected energy (eV for the cell shown) = -84.24
- E_form (uncorrected) (eV/atom) = -1.27

---

# 2
Crystalline CeHgBr6 at its relaxed geometry, computed with PBE.

abc: 7.3142 12.6536 7.0437
angles: 90.00 90.62 90.00
With the nearest neighbours (Å) after each atom.
Sites, in units of the cell vectors:
Ce  0.0000  0.0000  0.0000  6 Br 2.81
Ce  0.5000  0.5000  0.0000  6 Br 2.81
Hg  0.0000  0.0000  0.5000  6 Br 2.87
Hg  0.5000  0.5000  0.5000  6 Br 2.87
Br  0.1524  0.1526  0.2456  1 Ce 2.81, 1 Hg 2.87
Br  0.1524  0.8474  0.2456  1 Ce 2.81, 1 Hg 2.87
Br  0.1951  0.5000  0.2403  1 Ce 2.81, 1 Hg 2.87
Br  0.3049  0.0000  0.7597  1 Ce 2.81, 1 Hg 2.87
Br  0.3476  0.3474  0.7544  1 Ce 2.81, 1 Hg 2.87
Br  0.3476  0.6526  0.7544  1 Ce 2.81, 1 Hg 2.87
Br  0.6524  0.3474  0.2456  1 Ce 2.81, 1 Hg 2.87
Br  0.6524  0.6526  0.2456  1 Ce 2.81, 1 Hg 2.87
Br  0.6951  0.0000  0.2403  1 Ce 2.81, 1 Hg 2.87
Br  0.8049  0.5000  0.7597  1 Ce 2.81, 1 Hg 2.87
Br  0.8476  0.1526  0.7544  1 Ce 2.81, 1 Hg 2.87
Br  0.8476  0.8474  0.7544  1 Ce 2.81, 1 Hg 2.87

Results
- energy above the most stable polymorph in this dataset (meV/atom) = 0.0
- uncorrected energy (eV for the cell shown) = -50.30
- E_form (uncorrected) (eV/atom) = -1.11

---

# 3
Crystalline HoSc4PbS8 at its relaxed geometry, computed with PBE.

abc: 7.9245 7.9245 7.9245
angles: 58.41 58.41 58.41
With the nearest neighbours (Å) after each atom.
Sites, in units of the cell vectors:
Ho  0.0000  0.0000  0.0000  6 S 2.69-2.77
Sc  0.0012  0.0012  0.5036  6 S 2.55-2.70
Sc  0.0012  0.5036  0.0012  6 S 2.55-2.70
Sc  0.3743  0.3743  0.3743  4 S 2.51-2.56
Sc  0.5036  0.0012  0.0012  6 S 2.55-2.70
Pb  0.6318  0.6318  0.6318  4 S 2.70-2.75
S  0.2074  0.7587  0.7587  2 Sc 2.56, 1 Ho 2.69, 1 Pb 2.70
S  0.2440  0.2440  0.2440  4 Sc 2.56-2.69
S  0.2490  0.2490  0.7689  3 Sc 2.51-2.70, 1 Ho 2.77
S  0.2490  0.7689  0.2490  3 Sc 2.51-2.70, 1 Ho 2.77
S  0.7587  0.2074  0.7587  2 Sc 2.56, 1 Ho 2.69, 1 Pb 2.70
S  0.7587  0.7587  0.2074  2 Sc 2.56, 1 Ho 2.69, 1 Pb 2.70
S  0.7689  0.2490  0.2490  3 Sc 2.51-2.70, 1 Ho 2.77
S  0.7717  0.7717  0.7717  3 Sc 2.55, 1 Pb 2.75

Results
- uncorrected energy (eV for the cell shown) = -89.72
- E_form (uncorrected) (eV/atom) = -1.65
- Fermi-level density of states (states/eV per cell) = 6.1

---

# 4
Crystalline MgAgIr2Br at its relaxed geometry, computed with PBE.

abc: 4.9776 4.9776 4.9860
angles: 90.00 90.00 90.00
With the nearest neighbours (Å) after each atom.
Sites, in units of the cell vectors:
Mg  0.0000  0.0000  0.0000  4 Br 3.52, 8 Ir 3.52
Ag  0.5000  0.5000  0.5000  4 Ir 2.49, 2 Br 2.49
Ir  0.0000  0.5000  0.5000  2 Ag 2.49
Ir  0.5000  0.0000  0.5000  2 Ag 2.49
Br  0.5000  0.5000  0.0000  2 Ag 2.49

Results
- uncorrected energy (eV for the cell shown) = -15.88
- E_form (uncorrected) (eV/atom) = 1.59
- Fermi-level density of states (states/eV per cell) = 6.2

---

# 5
Crystalline P2RhSO at its relaxed geometry, computed with PBE.

abc: 4.5484 4.5484 3.2668
angles: 90.00 90.00 90.00
With the nearest neighbours (Å) after each atom.
Sites, in units of the cell vectors:
P  0.0000  0.5000  0.0000  2 S 2.27
P  0.5000  0.0000  0.0000  2 S 2.27
Rh  0.0000  0.0000  0.5000  8 P 2.80
S  0.5000  0.5000  0.0000  2 O 1.63
O  0.5000  0.5000  0.5000  2 S 1.63

Results
- energy above the most stable polymorph in this dataset (meV/atom) = 0.0
- uncorrected energy (eV for the cell shown) = -25.16
- E_form (uncorrected) (eV/atom) = 0.42
- Fermi-level density of states (states/eV per cell) = 3.6

---

# 6
Crystalline Ta2VW4 at its relaxed geometry, computed with PBE.

abc: 4.3736 4.5560 6.2638
angles: 90.00 90.00 90.00
With the nearest neighbours (Å) after each atom.
Sites, in units of the cell vectors:
Ta  0.0000  0.0000  0.0000  5 W 2.72-2.99, 2 Ta 2.85
Ta  0.0000  0.5000  0.2743  2 V 2.70, 4 W 2.73-2.76, 2 Ta 2.85
V  0.5000  0.5000  0.5282  4 W 2.63-2.77, 2 Ta 2.70
W  0.0000  0.0000  0.5220  4 W 2.68-2.73, 3 Ta 2.76-2.99
W  0.0000  0.5000  0.7624  2 V 2.63, 4 W 2.69-2.73, 2 Ta 2.72
W  0.5000  0.0000  0.2755  4 W 2.68-2.81, 2 V 2.77, 2 Ta 2.79
W  0.5000  0.5000  0.0133  4 W 2.69-2.81, 2 Ta 2.73

Results
- energy above the most stable polymorph in this dataset (meV/atom) = 179.9
- uncorrected energy (eV for the cell shown) = -81.91
- Fermi-level density of states (states/eV per cell) = 6.4
- ΔE_f (kJ/mol of formula units) = 263

---

> Among the records above, which one has the highest uncorrected energy?

MgAgIr2Br

---

> Which of these has the highest uncorrected energy?

MgAgIr2Br

---

> The highest uncorrected energy belongs to which entry?

MgAgIr2Br